*1*
VASP calculation (PBE-GGA) on CaPrTm after structural relaxation.

Values from the calculation:
Total magnetic moment in μB per atom: 0.000
SG: No. 129
Crystal system: tetragonal

Unit cell a=4.0173 b=4.0173 c=13.6532 alpha=90.00 beta=90.00 gamma=90.00
Closest atoms and distances in Å follow each position.
Element x y z (fractional)
Ca (0.2500, 0.2500, 0.0995)  4 Pr 3.82, 8 Ca 3.93-4.02
Ca (0.7500, 0.7500, 0.9005)  4 Pr 3.82, 8 Ca 3.93-4.02
Pr (0.2500, 0.2500, 0.7131)  5 Tm 3.48-3.81, 4 Ca 3.82
Pr (0.7500, 0.7500, 0.2869)  5 Tm 3.48-3.81, 4 Ca 3.82
Tm (0.2500, 0.2500, 0.4344)  4 Tm 3.36, 4 Pr 3.48
Tm (0.7500, 0.7500, 0.5656)  4 Tm 3.36, 4 Pr 3.48

=====

*2*
VASP calculation (PBE-GGA) on CaPrTm after structural relaxation.

Values from the calculation:
Total magnetic moment in μB per atom: 0.000
SG: No. 11
Crystal system: monoclinic

Unit cell a=3.6162 b=5.5840 c=10.8868 alpha=90.00 beta=99.40 gamma=90.00
Closest atoms and distances in Å follow each position.
Element x y z (fractional)
Ca (0.2025, 0.2500, 0.4070)  1 Tm 3.52, 6 Ca 3.62-3.89
Ca (0.7975, 0.7500, 0.5930)  1 Tm 3.52, 6 Ca 3.62-3.89
Pr (0.3980, 0.2500, 0.7912)  6 Tm 3.58-3.61, 2 Pr 3.62, 4 Ca 3.94-3.95
Pr (0.6020, 0.7500, 0.2088)  6 Tm 3.58-3.61, 2 Pr 3.62, 4 Ca 3.94-3.95
Tm (0.0382, 0.2500, 0.0794)  4 Tm 3.27-3.62, 1 Ca 3.52, 6 Pr 3.58-3.61
Tm (0.9618, 0.7500, 0.9206)  4 Tm 3.27-3.62, 1 Ca 3.52, 6 Pr 3.58-3.61

=====

Most stable = *2*

=====

*1*
VASP calculation (PBE-GGA) on CaPr2Tm after structural relaxation.

Values from the calculation:
Total magnetic moment in μB per atom: 0.000
SG: No. 160
Crystal system: trigonal

Unit cell a=3.6611 b=3.6611 c=36.7280 alpha=90.00 beta=90.00 gamma=120.00
Closest atoms and distances in Å follow each position.
Element x y z (fractional)
Ca (0.0000, 0.0000, 0.0000)  6 Ca 3.66, 6 Pr 3.89
Ca (0.3333, 0.6667, 0.6667)  6 Ca 3.66, 6 Pr 3.89
Ca (0.6667, 0.3333, 0.3333)  6 Ca 3.66, 6 Pr 3.89
Pr (0.0000, 0.0000, 0.2443)  3 Tm 3.55, 6 Pr 3.66, 3 Ca 3.89
Pr (0.0000, 0.0000, 0.4221)  3 Tm 3.56, 6 Pr 3.66, 3 Ca 3.89
Pr (0.3333, 0.6667, 0.0888)  3 Tm 3.56, 6 Pr 3.66, 3 Ca 3.89
Pr (0.3333, 0.6667, 0.9110)  3 Tm 3.55, 6 Pr 3.66, 3 Ca 3.89
Pr (0.6667, 0.3333, 0.5777)  3 Tm 3.55, 6 Pr 3.66, 3 Ca 3.89
Pr (0.6667, 0.3333, 0.7554)  3 Tm 3.56, 6 Pr 3.66, 3 Ca 3.89
Tm (0.0000, 0.0000, 0.8333)  6 Pr 3.55-3.56, 6 Tm 3.66
Tm (0.3333, 0.6667, 0.5000)  6 Pr 3.55-3.56, 6 Tm 3.66
Tm (0.6667, 0.3333, 0.1667)  6 Pr 3.55-3.56, 6 Tm 3.66

=====

*2*
VASP calculation (PBE-GGA) on CaPr2Tm after structural relaxation.

Values from the calculation:
Total magnetic moment in μB per atom: 0.000
SG: No. 166
Crystal system: trigonal

Unit cell a=3.6094 b=3.6094 c=38.6473 alpha=90.00 beta=90.00 gamma=120.00
Closest atoms and distances in Å follow each position.
Element x y z (fractional)
Ca (0.0000, 0.0000, 0.0000)  2 Pr 3.56, 6 Ca 3.61
Ca (0.3333, 0.6667, 0.6667)  2 Pr 3.56, 6 Ca 3.61
Ca (0.6667, 0.3333, 0.3333)  2 Pr 3.56, 6 Ca 3.61
Pr (0.0000, 0.0000, 0.0922)  3 Tm 3.55, 1 Ca 3.56, 6 Pr 3.61
Pr (0.0000, 0.0000, 0.9078)  3 Tm 3.55, 1 Ca 3.56, 6 Pr 3.61
Pr (0.3333, 0.6667, 0.5745)  3 Tm 3.55, 1 Ca 3.56, 6 Pr 3.61
Pr (0.3333, 0.6667, 0.7588)  3 Tm 3.55, 1 Ca 3.56, 6 Pr 3.61
Pr (0.6667, 0.3333, 0.2412)  3 Tm 3.55, 1 Ca 3.56, 6 Pr 3.61
Pr (0.6667, 0.3333, 0.4255)  3 Tm 3.55, 1 Ca 3.56, 6 Pr 3.61
Tm (0.0000, 0.0000, 0.5000)  6 Pr 3.55, 6 Tm 3.61
Tm (0.3333, 0.6667, 0.1667)  6 Pr 3.55, 6 Tm 3.61
Tm (0.6667, 0.3333, 0.8333)  6 Pr 3.55, 6 Tm 3.61

=====

Most stable = *1*

=====

*1*
VASP calculation (PBE-GGA) on CaPr2Tm after structural relaxation.

Values from the calculation:
Total magnetic moment in μB per atom: 0.000
SG: No. 123
Crystal system: tetragonal

Unit cell a=5.3164 b=5.3164 c=4.9771 alpha=90.00 beta=90.00 gamma=90.00
Closest atoms and distances in Å follow each position.
Element x y z (fractional)
Ca (0.0000, 0.0000, 0.0000)  8 Pr 3.64, 4 Tm 3.76
Pr (0.0000, 0.5000, 0.5000)  4 Ca 3.64, 4 Tm 3.64, 4 Pr 3.76
Pr (0.5000, 0.0000, 0.5000)  4 Ca 3.64, 4 Tm 3.64, 4 Pr 3.76
Tm (0.5000, 0.5000, 0.0000)  8 Pr 3.64, 4 Ca 3.76

=====

*2*
VASP calculation (PBE-GGA) on CaPr2Tm after structural relaxation.

Values from the calculation:
Total magnetic moment in μB per atom: 0.000
SG: No. 123
Crystal system: tetragonal

Unit cell a=3.6787 b=3.6787 c=10.5148 alpha=90.00 beta=90.00 gamma=90.00
Closest atoms and distances in Å follow each position.
Element x y z (fractional)
Ca (0.0000, 0.0000, 0.0000)  4 Ca 3.68, 8 Pr 3.82
Pr (0.5000, 0.5000, 0.2666)  4 Tm 3.58, 4 Pr 3.68, 4 Ca 3.82
Pr (0.5000, 0.5000, 0.7334)  4 Tm 3.58, 4 Pr 3.68, 4 Ca 3.82
Tm (0.0000, 0.0000, 0.5000)  8 Pr 3.58, 4 Tm 3.68

=====

Most stable = *2*

=====

*1*
VASP calculation (PBE-GGA) on CaPr2Tm after structural relaxation.

Values from the calculation:
Total magnetic moment in μB per atom: 0.000
SG: No. 166
Crystal system: trigonal

Unit cell a=3.6646 b=3.6646 c=36.6136 alpha=90.00 beta=90.00 gamma=120.00
Closest atoms and distances in Å follow each position.
Element x y z (fractional)
Ca (0.0000, 0.0000, 0.0000)  6 Ca 3.66, 6 Pr 3.87
Ca (0.3333, 0.6667, 0.6667)  6 Ca 3.66, 6 Pr 3.87
Ca (0.6667, 0.3333, 0.3333)  6 Ca 3.66, 6 Pr 3.87
Pr (0.0000, 0.0000, 0.2447)  3 Tm 3.55, 6 Pr 3.66, 3 Ca 3.87
Pr (0.0000, 0.0000, 0.7553)  3 Tm 3.55, 6 Pr 3.66, 3 Ca 3.87
Pr (0.3333, 0.6667, 0.4220)  3 Tm 3.55, 6 Pr 3.66, 3 Ca 3.87
Pr (0.3333, 0.6667, 0.9114)  3 Tm 3.55, 6 Pr 3.66, 3 Ca 3.87
Pr (0.6667, 0.3333, 0.0886)  3 Tm 3.55, 6 Pr 3.66, 3 Ca 3.87
Pr (0.6667, 0.3333, 0.5780)  3 Tm 3.55, 6 Pr 3.66, 3 Ca 3.87
Tm (0.0000, 0.0000, 0.5000)  6 Pr 3.55, 6 Tm 3.66
Tm (0.3333, 0.6667, 0.1667)  6 Pr 3.55, 6 Tm 3.66
Tm (0.6667, 0.3333, 0.8333)  6 Pr 3.55, 6 Tm 3.66

=====

*2*
VASP calculation (PBE-GGA) on CaPr2Tm after structural relaxation.

Values from the calculation:
Total magnetic moment in μB per atom: 0.000
SG: No. 225
Crystal system: cubic

Unit cell a=8.2768 b=8.2768 c=8.2768 alpha=90.00 beta=90.00 gamma=90.00
Closest atoms and distances in Å follow each position.
Element x y z (fractional)
Ca (0.0000, 0.0000, 0.0000)  8 Pr 3.58
Ca (0.0000, 0.5000, 0.5000)  8 Pr 3.58
Ca (0.5000, 0.0000, 0.5000)  8 Pr 3.58
Ca (0.5000, 0.5000, 0.0000)  8 Pr 3.58
Pr (0.2500, 0.2500, 0.2500)  4 Tm 3.58, 4 Ca 3.58
Pr (0.2500, 0.2500, 0.7500)  4 Ca 3.58, 4 Tm 3.58
Pr (0.2500, 0.7500, 0.2500)  4 Ca 3.58, 4 Tm 3.58
Pr (0.2500, 0.7500, 0.7500)  4 Tm 3.58, 4 Ca 3.58
Pr (0.7500, 0.2500, 0.2500)  4 Ca 3.58, 4 Tm 3.58
Pr (0.7500, 0.2500, 0.7500)  4 Tm 3.58, 4 Ca 3.58
Pr (0.7500, 0.7500, 0.2500)  4 Tm 3.58, 4 Ca 3.58
Pr (0.7500, 0.7500, 0.7500)  4 Ca 3.58, 4 Tm 3.58
Tm (0.0000, 0.0000, 0.5000)  8 Pr 3.58
Tm (0.0000, 0.5000, 0.0000)  8 Pr 3.58
Tm (0.5000, 0.0000, 0.0000)  8 Pr 3.58
Tm (0.5000, 0.5000, 0.5000)  8 Pr 3.58

=====

Most stable = *1*

=====

*1*
VASP calculation (PBE-GGA) on Ca2PrTm after structural relaxation.

Values from the calculation:
Total magnetic moment in μB per atom: 0.001
SG: No. 1
Crystal system: triclinic

Unit cell a=3.5926 b=5.9668 c=7.0194 alpha=89.93 beta=75.60 gamma=89.98
Closest atoms and distances in Å follow each position.
Element x y z (fractional)
Ca (0.0000, 0.0000, 0.0000)  5 Ca 3.52-3.74, 4 Tm 3.79-3.81
Ca (0.2680, 0.9995, 0.4824)  2 Tm 3.46-3.47, 5 Ca 3.52-3.74, 4 Pr 3.76-3.78
Pr (0.6604, 0.4994, 0.6931)  2 Pr 3.59, 3 Tm 3.60-3.67, 4 Ca 3.76-3.78
Tm (0.3873, 0.4997, 0.2232)  6 Ca 3.46-3.81, 2 Tm 3.59, 3 Pr 3.60-3.67

=====

*2*
VASP calculation (PBE-GGA) on Ca2PrTm after structural relaxation.

Values from the calculation:
Total magnetic moment in μB per atom: 0.000
SG: No. 225
Crystal system: cubic

Unit cell a=8.3345 b=8.3345 c=8.3345 alpha=90.00 beta=90.00 gamma=90.00
Closest atoms and distances in Å follow each position.
Element x y z (fractional)
Ca (0.2500, 0.2500, 0.2500)  4 Pr 3.61, 4 Tm 3.61
Ca (0.2500, 0.2500, 0.7500)  4 Pr 3.61, 4 Tm 3.61
Ca (0.2500, 0.7500, 0.2500)  4 Pr 3.61, 4 Tm 3.61
Ca (0.2500, 0.7500, 0.7500)  4 Pr 3.61, 4 Tm 3.61
Ca (0.7500, 0.2500, 0.2500)  4 Pr 3.61, 4 Tm 3.61
Ca (0.7500, 0.2500, 0.7500)  4 Pr 3.61, 4 Tm 3.61
Ca (0.7500, 0.7500, 0.2500)  4 Pr 3.61, 4 Tm 3.61
Ca (0.7500, 0.7500, 0.7500)  4 Pr 3.61, 4 Tm 3.61
Pr (0.0000, 0.0000, 0.0000)  8 Ca 3.61
Pr (0.0000, 0.5000, 0.5000)  8 Ca 3.61
Pr (0.5000, 0.0000, 0.5000)  8 Ca 3.61
Pr (0.5000, 0.5000, 0.0000)  8 Ca 3.61
Tm (0.0000, 0.0000, 0.5000)  8 Ca 3.61
Tm (0.0000, 0.5000, 0.0000)  8 Ca 3.61
Tm (0.5000, 0.0000, 0.0000)  8 Ca 3.61
Tm (0.5000, 0.5000, 0.5000)  8 Ca 3.61

=====

*3*
VASP calculation (PBE-GGA) on Ca2PrTm after structural relaxation.

Values from the calculation:
Total magnetic moment in μB per atom: 0.136
SG: No. 166
Crystal system: trigonal

Unit cell a=3.5961 b=3.5961 c=39.4701 alpha=90.00 beta=90.00 gamma=120.00
Closest atoms and distances in Å follow each position.
Element x y z (fractional)
Ca (0.0000, 0.0000, 0.0861)  1 Tm 3.40, 6 Ca 3.60, 3 Pr 3.80
Ca (0.0000, 0.0000, 0.9139)  1 Tm 3.40, 6 Ca 3.60, 3 Pr 3.80
Ca (0.3333, 0.6667, 0.5806)  1 Tm 3.40, 6 Ca 3.60, 3 Pr 3.80
Ca (0.3333, 0.6667, 0.7528)  1 Tm 3.40, 6 Ca 3.60, 3 Pr 3.80
Ca (0.6667, 0.3333, 0.2472)  1 Tm 3.40, 6 Ca 3.60, 3 Pr 3.80
Ca (0.6667, 0.3333, 0.4194)  1 Tm 3.40, 6 Ca 3.60, 3 Pr 3.80
Pr (0.0000, 0.0000, 0.5000)  6 Pr 3.60, 6 Ca 3.80
Pr (0.3333, 0.6667, 0.1667)  6 Pr 3.60, 6 Ca 3.80
Pr (0.6667, 0.3333, 0.8333)  6 Pr 3.60, 6 Ca 3.80
Tm (0.0000, 0.0000, 0.0000)  2 Ca 3.40, 6 Tm 3.60
Tm (0.3333, 0.6667, 0.6667)  2 Ca 3.40, 6 Tm 3.60
Tm (0.6667, 0.3333, 0.3333)  2 Ca 3.40, 6 Tm 3.60

=====

Most stable = *1*

=====

*1*
VASP calculation (PBE-GGA) on Ca2Pr2Tm after structural relaxation.

Values from the calculation:
Total magnetic moment in μB per atom: 0.000
SG: No. 139
Crystal system: tetragonal

Unit cell a=4.6115 b=4.6115 c=17.8241 alpha=90.00 beta=90.00 gamma=90.00
Closest atoms and distances in Å follow each position.
Element x y z (fractional)
Ca (0.0000, 0.5000, 0.2500)  4 Ca 3.26
Ca (0.0000, 0.5000, 0.7500)  4 Ca 3.26
Ca (0.5000, 0.0000, 0.2500)  4 Ca 3.26
Ca (0.5000, 0.0000, 0.7500)  4 Ca 3.26
Pr (0.0000, 0.0000, 0.0882)  1 Pr 3.14
Pr (0.0000, 0.0000, 0.9118)  1 Pr 3.14
Pr (0.5000, 0.5000, 0.4118)  1 Pr 3.14
Pr (0.5000, 0.5000, 0.5882)  1 Pr 3.14
Tm (0.0000, 0.0000, 0.5000)  8 Pr 3.62
Tm (0.5000, 0.5000, 0.0000)  8 Pr 3.62

=====

*2*
VASP calculation (PBE-GGA) on Ca2Pr2Tm after structural relaxation.

Values from the calculation:
Total magnetic moment in μB per atom: 0.000
SG: No. 164
Crystal system: trigonal

Unit cell a=3.6961 b=3.6961 c=15.4920 alpha=90.00 beta=90.00 gamma=120.00
Closest atoms and distances in Å follow each position.
Element x y z (fractional)
Ca (0.3333, 0.6667, 0.1064)  9 Ca 3.70-3.93, 3 Pr 3.89
Ca (0.6667, 0.3333, 0.8936)  9 Ca 3.70-3.93, 3 Pr 3.89
Pr (0.3333, 0.6667, 0.6836)  3 Tm 3.56, 6 Pr 3.70, 3 Ca 3.89
Pr (0.6667, 0.3333, 0.3164)  3 Tm 3.56, 6 Pr 3.70, 3 Ca 3.89
Tm (0.0000, 0.0000, 0.5000)  6 Pr 3.56, 6 Tm 3.70

=====

Most stable = *2*